Entry 1:
Ga2HgBr | the Alexandria database | PBE | optimized geometry; magnetization = 0.00 Bohr magnetons per cell; formation energy (no corrections) = -101 meV/atom; E above lowest polymorph = 0.026 eV/atom
1.0
5.272 0.000 0.000
0.000 5.272 0.000
0.000 0.000 3.617
Ga Hg Br
2 1 1
Direct
0.000 0.500 0.000
0.500 0.000 0.000
0.000 0.000 0.500
0.500 0.500 0.500

=====

Entry 2:
Na2Ti2Hg | the Alexandria database | PBE | optimized geometry; magnetization = 0.00 Bohr magnetons per cell; E above lowest polymorph = 0.000 eV/atom; formation enthalpy at 0 K = 561 meV per atom
1.0
6.701 0.000 0.000
0.000 6.701 0.000
0.000 0.000 5.591
Na Ti Hg
4 4 2
Direct
0.186 0.314 0.000
0.314 0.814 0.000
0.686 0.186 0.000
0.814 0.686 0.000
0.106 0.606 0.500
0.394 0.106 0.500
0.606 0.894 0.500
0.894 0.394 0.500
0.000 0.000 0.500
0.500 0.500 0.500

=====

Entry 3:
ReBiO2 | the Alexandria database | PBE | optimized geometry; magnetization = 0.00 Bohr magnetons per cell; formation energy (no corrections) = -355 meV/atom
1.0
-3.040 3.040 4.321
3.040 -3.040 4.321
3.040 3.040 -4.321
Re Bi O
2 2 4
Direct
0.375 0.625 0.750
0.625 0.375 0.250
0.125 0.875 0.250
0.875 0.125 0.750
0.000 0.500 0.500
0.500 0.000 0.000
0.500 0.500 0.000
0.500 0.500 0.500

=====

Entry 4:
Mg2ZrSe | the Alexandria database | PBE | optimized geometry; magnetization = 0.00 Bohr magnetons per cell; formation energy (no corrections) = -217 meV/atom
1.0
-4.041 4.041 2.740
4.041 -4.041 2.740
4.041 4.041 -2.740
Mg Zr Se
4 2 2
Direct
0.076 0.625 0.951
0.375 0.326 0.451
0.674 0.125 0.049
0.875 0.924 0.549
0.250 0.750 0.500
0.500 0.500 0.000
0.000 0.000 0.000
0.750 0.250 0.500

=====

Entry 5:
CoSiP | the Alexandria database | PBE | optimized geometry; magnetization = 0.00 Bohr magnetons per cell; formation energy (no corrections) = -188 meV/atom
1.0
2.628 0.000 0.000
1.278 3.887 0.000
1.277 0.501 4.111
Co Si P
1 1 1
Direct
0.000 0.000 0.000
0.663 0.121 0.547
0.656 0.549 0.134

=====

Entry 6:
YScInGa2 | the Alexandria database | PBE | optimized geometry; magnetization = 1.37 Bohr magnetons per cell; formation enthalpy at 0 K = 475 meV per atom
1.0
5.187 0.000 0.000
0.000 5.187 0.000
0.000 0.000 5.420
Y Sc In Ga
1 1 1 2
Direct
0.000 0.000 0.000
0.000 0.000 0.500
0.500 0.500 0.000
0.000 0.500 0.500
0.500 0.000 0.500

=====

Entry 7:
MgZrIrOs2 | the Alexandria database | PBE | optimized geometry; magnetization = 0.00 Bohr magnetons per cell; formation enthalpy at 0 K = 1794 meV per atom
1.0
4.409 0.000 0.000
0.000 4.409 0.000
0.000 0.000 4.656
Mg Zr Ir Os
1 1 1 2
Direct
0.000 0.000 0.000
0.000 0.000 0.500
0.500 0.500 0.500
0.000 0.500 0.000
0.500 0.000 0.000

=====

Entry 8:
NiPH3 | the Alexandria database | PBE | optimized geometry; magnetization = 0.00 Bohr magnetons per cell; E above lowest polymorph = 0.178 eV/atom
1.0
3.391 0.000 0.000
0.000 3.391 0.000
0.000 0.000 3.391
Ni P H
1 1 3
Direct
0.000 0.000 0.000
0.500 0.500 0.500
0.000 0.500 0.500
0.500 0.000 0.500
0.500 0.500 0.000

=====

> magnetization of number 3 (ReBiO2)?

0.00 Bohr magnetons per cell

=====

> The highest magnetization belongs to which entry?

YScInGa2

=====

> Look up the magnetization of the sixth one.

1.37 Bohr magnetons per cell